(1)
TaCuHOs2: relaxed, GGA-PBE.

Computed properties:
Raw total energy ... -8.283 eV per atom
Crystal system ... tetragonal
Calculated volume ... 60.8 Å³ per cell

abc: 4.0319 4.0319 3.7412
angles: 90.00 90.00 90.00
Last column: nearest neighbours and their distance in Å.
Atoms (fractional coordinates):
H  0.0000  0.0000  0.0000  2 Cu 1.87, 4 Os 2.02
Os  0.0000  0.5000  0.0000  2 H 2.02
Os  0.5000  0.0000  0.0000  2 H 2.02
Ta  0.5000  0.5000  0.5000  8 Os 2.75, 4 Cu 2.85
Cu  0.0000  0.0000  0.5000  2 H 1.87

***

(2)
BiTe2HAu: relaxed, GGA-PBE.

Computed properties:
Raw total energy ... -3.258 eV per atom
Crystal system ... tetragonal
Calculated volume ... 118.2 Å³ per cell

abc: 5.6616 5.6616 3.6865
angles: 90.00 90.00 90.00
Last column: nearest neighbours and their distance in Å.
Atoms (fractional coordinates):
Bi  0.5000  0.5000  0.5000  8 Te 3.38, 2 Bi 3.69
Au  0.0000  0.0000  0.0000  2 H 1.84
Te  0.0000  0.5000  0.0000  2 Au 2.83
Te  0.5000  0.0000  0.0000  2 Au 2.83
H  0.0000  0.0000  0.5000  2 Au 1.84

***

(3)
Ir3Se4: relaxed, GGA-PBE.

Computed properties:
Crystal system ... hexagonal
Calculated volume ... 125.7 Å³ per cell
Formation energy without anion corrections ... 5.83 eV/f.u.

abc: 5.6318 5.6318 4.5765
angles: 90.00 90.00 120.00
Last column: nearest neighbours and their distance in Å.
Atoms (fractional coordinates):
Se  0.6667  0.3333  0.5000  6 Ir 2.81
Se  0.0000  0.0000  0.7397  2 Se 2.19-2.38
Se  0.0000  0.0000  0.2603  2 Se 2.19-2.38
Se  0.3333  0.6667  0.5000  6 Ir 2.81
Ir  0.5000  0.0000  0.0000  8 Se 2.81-3.06, 4 Ir 2.82
Ir  0.5000  0.5000  0.0000  8 Se 2.81-3.06, 4 Ir 2.82
Ir  0.0000  0.5000  0.0000  8 Se 2.81-3.06, 4 Ir 2.82

***

(4)
PuMgCdPt: relaxed, GGA-PBE.

Computed properties:
Crystal system ... cubic
Formation enthalpy at 0 K ... -0.35 eV per atom
Calculated volume ... 86.1 Å³ per cell

abc: 4.9573 4.9573 4.9573
angles: 60.00 60.00 60.00
Last column: nearest neighbours and their distance in Å.
Atoms (fractional coordinates):
Pt  0.2500  0.2500  0.2500  4 Pu 3.04, 4 Mg 3.04
Cd  0.7500  0.7500  0.7500  4 Mg 3.04, 4 Pu 3.04
Mg  0.0000  0.0000  0.0000  4 Pt 3.04, 4 Cd 3.04
Pu  0.5000  0.5000  0.5000  4 Cd 3.04, 4 Pt 3.04

***

(5)
Cs3Bi4: relaxed, GGA-PBE.

Computed properties:
Crystal system ... orthorhombic
Formation enthalpy at 0 K ... -0.33 eV per atom
Calculated volume ... 371.9 Å³ per cell

abc: 5.2470 6.0175 12.4384
angles: 104.00 102.18 90.00
Last column: nearest neighbours and their distance in Å.
Atoms (fractional coordinates):
Bi  0.0679  0.5679  0.1358  3 Bi 3.08-3.20
Bi  0.3639  0.3639  0.7277  2 Bi 3.08
Bi  0.9321  0.4321  0.8642  3 Bi 3.08-3.20
Bi  0.6361  0.6361  0.2723  2 Bi 3.08
Cs  0.8152  0.8152  0.6305  7 Bi 4.08-4.22
Cs  0.5000  0.0000  0.0000  12 Bi 4.30-4.40
Cs  0.1848  0.1848  0.3695  7 Bi 4.08-4.22

***

(6)
LiPm5Hg8: relaxed, GGA-PBE.

Computed properties:
Crystal system ... tetragonal
Formation enthalpy at 0 K ... -0.41 eV per atom
Calculated volume ... 375.9 Å³ per cell

abc: 7.8745 7.8745 7.8745
angles: 109.38 109.65 109.38
Last column: nearest neighbours and their distance in Å.
Atoms (fractional coordinates):
Hg  0.1175  0.7264  0.0020  1 Li 2.91, 1 Hg 3.15, 4 Pm 3.15-3.26
Hg  0.1484  0.7394  0.5686  1 Li 2.87, 1 Hg 3.15, 2 Pm 3.15-3.18
Hg  0.5909  0.4202  0.8516  1 Li 2.87, 1 Hg 3.15, 2 Pm 3.15-3.18
Hg  0.9980  0.1155  0.7244  1 Li 2.91, 1 Hg 3.15, 4 Pm 3.15-3.26
Hg  0.2756  0.2736  0.3911  1 Li 2.91, 1 Hg 3.15, 4 Pm 3.15-3.26
Hg  0.8293  0.2606  0.4091  1 Li 2.87, 1 Hg 3.15, 2 Pm 3.15-3.18
Hg  0.4314  0.5798  0.1707  1 Li 2.87, 1 Hg 3.15, 2 Pm 3.15-3.18
Hg  0.6089  0.8845  0.8825  1 Li 2.91, 1 Hg 3.15, 4 Pm 3.15-3.26
Pm  0.9686  0.3673  0.1090  8 Hg 3.15-3.26
Pm  0.7418  0.6327  0.6014  8 Hg 3.15-3.26
Pm  0.5000  0.0000  0.5000  8 Hg 3.18-3.35
Pm  0.3986  0.1404  0.0314  8 Hg 3.15-3.26
Pm  0.8910  0.8596  0.2582  8 Hg 3.15-3.26
Li  0.2500  0.5000  0.7500  8 Hg 2.87-2.91

***

(7)
YTePt2: relaxed, GGA-PBE.

Computed properties:
Crystal system ... tetragonal
Calculated volume ... 89.7 Å³ per cell
Formation energy without anion corrections ... -2.60 eV/f.u.

abc: 3.8700 3.8700 5.9909
angles: 90.00 90.00 90.00
Last column: nearest neighbours and their distance in Å.
Atoms (fractional coordinates):
Y  0.5000  0.5000  0.8040  6 Pt 2.88-3.11
Pt  0.0000  0.0000  0.9643  1 Te 2.66, 4 Y 2.90
Pt  0.5000  0.5000  0.3228  4 Te 2.78, 2 Y 2.88-3.11
Te  0.0000  0.0000  0.4088  5 Pt 2.66-2.78

***

(8)
RePb2Cl: relaxed, GGA-PBE.

Computed properties:
Crystal system ... tetragonal
Calculated volume ... 96.2 Å³ per cell
Formation energy without anion corrections ... 3.41 eV/f.u.

abc: 5.3332 5.3332 5.3332
angles: 125.87 125.87 80.10
Last column: nearest neighbours and their distance in Å.
Atoms (fractional coordinates):
Pb  0.5000  0.5000  0.0000  4 Cl 3.17, 4 Re 3.17, 4 Pb 3.43
Pb  0.0000  0.0000  0.0000  4 Cl 3.17, 4 Re 3.17, 4 Pb 3.43
Cl  0.7500  0.2500  0.5000  8 Pb 3.17, 4 Re 3.43
Re  0.2500  0.7500  0.5000  8 Pb 3.17, 4 Cl 3.43